Ho7InTe2 (GGA-PBE, relaxed); theoretical density = 7.2 Mg/m³; raw formation energy = -0.09 eV/atom; space-group type = Cmmm; E = -41.96 eV for the cell shown
1.0
5.417 0.000 0.000
0.000 8.581 -0.114
0.000 -3.973 7.607
Te Ho In
2 7 1
Cartesian
2.708 -0.221 5.300
2.708 4.829 2.194
2.708 2.332 0.454
0.000 5.720 1.646
2.708 2.304 3.747
0.000 -1.112 5.847
2.708 5.255 5.207
2.708 -0.647 2.286
2.708 2.277 7.039
0.000 0.000 0.000